# 1
Sc3Fe | Alexandria | PBE | optimized geometry; N(E_F) = 1.0136 states/eV/atom; formation enthalpy at 0 K = -0.11 eV/atom; space-group type = No. 62
1.0
6.598 0.000 0.000
0.000 8.387 0.000
0.000 0.000 5.812
Sc Fe
12 4
Cartesian
6.303 6.290 0.723
1.167 0.526 1.922
2.131 7.861 4.828
1.167 3.668 1.922
2.131 4.719 4.828
4.466 3.668 0.985
3.004 6.290 2.183
5.430 4.719 3.891
0.295 2.097 5.089
4.466 0.526 0.985
5.430 7.861 3.891
3.594 2.097 3.629
5.864 2.097 2.714
0.734 6.290 3.099
4.033 6.290 5.620
2.565 2.097 0.193

# 2
Sc2Fe | Alexandria | PBE | optimized geometry; N(E_F) = 1.2689 states/eV/atom; formation enthalpy at 0 K = 0.15 eV/atom; space-group type = No. 141
1.0
-1.288 -0.233 3.868
-1.195 -3.853 -0.631
13.508 -2.388 2.198
Sc Fe
8 4
Cartesian
10.134 -3.660 3.153
3.357 -1.562 3.178
-0.569 -0.144 1.957
0.891 -2.814 2.282
6.208 -2.242 1.932
7.623 -3.102 4.506
4.817 -4.231 3.503
11.548 -4.520 5.727
9.020 -5.749 4.811
3.530 -3.417 0.969
2.006 -0.724 0.624
7.541 -4.866 2.217

# 3
Sc3Fe | Alexandria | PBE | optimized geometry; N(E_F) = 1.2967 states/eV/atom; formation enthalpy at 0 K = 0.14 eV/atom; space-group type = No. 123
1.0
4.424 0.000 0.000
0.000 4.424 0.000
0.000 0.000 4.126
Sc Fe
3 1
Cartesian
2.212 0.000 2.063
2.212 2.212 0.000
0.000 2.212 2.063
0.000 0.000 0.000

# 4
Sc3Fe | Alexandria | PBE | optimized geometry; N(E_F) = 0.9646 states/eV/atom; formation enthalpy at 0 K = 0.16 eV/atom; space-group type = No. 225
1.0
4.742 0.000 0.000
2.371 4.107 0.000
2.371 1.369 3.872
Fe Sc
1 3
Cartesian
0.000 0.000 0.000
2.371 1.369 0.968
7.113 4.107 2.904
4.742 2.738 1.936

> N(E_F) of number 4 (Sc3Fe)?

0.9646 states/eV/atom